# MgCuSbMo | OQMD | PBE | relaxed
data_MgCuSbMo
_chemical_formula_sum 'Mg4 Cu4 Sb4 Mo4'
_cell_length_a 6.483
_cell_length_b 6.483
_cell_length_c 6.483
_cell_angle_alpha 90.00
_cell_angle_beta 90.00
_cell_angle_gamma 90.00
_symmetry_space_group_name_H-M 'F -4 3 m'
_symmetry_Int_Tables_number 216
_symmetry_space_group_name_Hall 'F -4 2 3'
loop_
_atom_site_label
_atom_site_type_symbol
_atom_site_fract_x
_atom_site_fract_y
_atom_site_fract_z
_atom_site_occupancy
Mg1 Mg 0.000 0.000 0.000 1
Cu1 Cu 0.250 0.250 0.750 1
Sb1 Sb 0.000 0.000 0.500 1
Mo1 Mo 0.250 0.250 0.250 1
# Total energy: -18.8 eV per formula unit
# Energy relative to the lowest polymorph listed for this composition: 0.00 eV/f.u.
# Total moment: 0.000 μB per atom

# MgCuSiMo | OQMD | PBE | relaxed
data_MgCuSiMo
_chemical_formula_sum 'Mg4 Cu4 Si4 Mo4'
_cell_length_a 6.088
_cell_length_b 6.088
_cell_length_c 6.088
_cell_angle_alpha 90.00
_cell_angle_beta 90.00
_cell_angle_gamma 90.00
_symmetry_space_group_name_H-M 'F -4 3 m'
_symmetry_Int_Tables_number 216
_symmetry_space_group_name_Hall 'F -4 2 3'
loop_
_atom_site_label
_atom_site_type_symbol
_atom_site_fract_x
_atom_site_fract_y
_atom_site_fract_z
_atom_site_occupancy
Mg1 Mg 0.000 0.000 0.000 1
Cu1 Cu 0.250 0.250 0.750 1
Si1 Si 0.000 0.000 0.500 1
Mo1 Mo 0.250 0.250 0.250 1
# Total energy: -20.8 eV per formula unit
# Energy relative to the lowest polymorph listed for this composition: 0.00 eV/f.u.
# Total moment: 0.000 μB per atom

# MgCuSnMo | OQMD | PBE | relaxed
data_MgCuSnMo
_chemical_formula_sum 'Mg4 Cu4 Sn4 Mo4'
_cell_length_a 6.474
_cell_length_b 6.474
_cell_length_c 6.474
_cell_angle_alpha 90.00
_cell_angle_beta 90.00
_cell_angle_gamma 90.00
_symmetry_space_group_name_H-M 'F -4 3 m'
_symmetry_Int_Tables_number 216
_symmetry_space_group_name_Hall 'F -4 2 3'
loop_
_atom_site_label
_atom_site_type_symbol
_atom_site_fract_x
_atom_site_fract_y
_atom_site_fract_z
_atom_site_occupancy
Mg1 Mg 0.000 0.000 0.000 1
Cu1 Cu 0.250 0.250 0.750 1
Sn1 Sn 0.000 0.000 0.500 1
Mo1 Mo 0.250 0.250 0.250 1
# Total energy: -18.8 eV per formula unit
# Energy relative to the lowest polymorph listed for this composition: 0.00 eV/f.u.
# Total moment: 0.003 μB per atom

# MgCu2N2 | OQMD | PBE | relaxed
data_MgCu2N2
_chemical_formula_sum 'Mg1 Cu2 N2'
_cell_length_a 3.1519
_cell_length_b 3.1519
_cell_length_c 5.9785
_cell_angle_alpha 90.00
_cell_angle_beta 90.00
_cell_angle_gamma 120.00
_symmetry_space_group_name_H-M 'P -3 m 1'
_symmetry_Int_Tables_number 164
_symmetry_space_group_name_Hall '-P 3 2"'
loop_
_atom_site_label
_atom_site_type_symbol
_atom_site_fract_x
_atom_site_fract_y
_atom_site_fract_z
_atom_site_occupancy
Mg1 Mg 0.0000 0.0000 0.0000 1
Cu1 Cu 0.3333 0.6667 0.6520 1
N1 N 0.3333 0.6667 0.2215 1
# Total energy: -24.4 eV per formula unit